VASP calculation (PBE-GGA) on a relaxed structure of Ti5TcRh4.

Geometry as POSCAR:
```
Ti5TcRh4
1.0
3.142 0.000 0.000
0.000 3.142 0.000
0.000 0.000 15.176
Rh Ti Tc
4 5 1
Cartesian
0.000 0.000 3.079 Rh
0.000 0.000 12.097 Rh
0.000 0.000 6.074 Rh
0.000 0.000 9.103 Rh
1.571 1.571 4.552 Ti
1.571 1.571 7.588 Ti
1.571 1.571 10.624 Ti
1.571 1.571 13.703 Ti
1.571 1.571 1.473 Ti
0.000 0.000 0.000 Tc
```

Output
Space group: P4/mmm
VASP energy: -86.68 eV/cell
Total magnetization: 0.000 μB/cell
Energy of formation: -0.743 eV per atom

---

VASP calculation (PBE-GGA) on a relaxed structure of Ti3TcRh.

Geometry as POSCAR:
```
Ti3TcRh
1.0
-0.260 -3.951 2.351
-0.197 -2.343 -3.959
4.593 -0.325 -0.037
Ti Tc Rh
3 1 1
Cartesian
-0.130 -1.975 1.176 Ti
2.297 -0.162 -0.018 Ti
-0.099 -1.172 -1.980 Ti
0.000 0.000 0.000 Tc
2.068 -3.309 -0.822 Rh
```

Output
Offset from the most stable computed form: 0 meV/atom
Space group: Pm-3m
VASP energy: -38.41 eV/cell
Total magnetization: 0.000 μB/cell
Energy of formation: 0.599 eV per atom

---

VASP calculation (PBE-GGA) on a relaxed structure of Ti2TcRh.

Geometry as POSCAR:
```
Ti2TcRh
1.0
3.142 0.000 0.000
0.000 4.356 0.000
0.000 0.000 4.356
Rh Ti Tc
1 2 1
Cartesian
1.571 0.000 0.000 Rh
0.000 2.178 0.000 Ti
0.000 0.000 2.178 Ti
1.571 2.178 2.178 Tc
```

Output
Offset from the most stable computed form: 17 meV/atom
Space group: P4/mmm
VASP energy: -36.41 eV/cell
Total magnetization: 0.000 μB/cell
Energy of formation: -0.725 eV per atom

---

VASP calculation (PBE-GGA) on a relaxed structure of Ti4TcRh.

Geometry as POSCAR:
```
Ti4TcRh
1.0
4.384 0.000 0.000
2.192 3.787 0.218
2.192 0.878 6.681
Tc Ti Rh
1 4 1
Cartesian
0.000 0.000 0.000 Tc
6.576 3.644 2.670 Ti
4.384 2.478 0.956 Ti
4.384 2.187 5.943 Ti
2.192 1.020 4.230 Ti
4.384 2.332 3.450 Rh
```

Output
Offset from the most stable computed form: 390 meV/atom
Space group: R-3m
VASP energy: -49.82 eV/cell
Total magnetization: 0.000 μB/cell
Energy of formation: -0.088 eV per atom